MgPbAu3 | meta-GGA SCAN | single point on PBEsol structure

Properties
V	23.49	Å³/atom
density of states at the Fermi level	0.344	states/eV per atom
VASP energy	-57.459	eV/atom
crystal system	cubic

Unit cell a=4.8969 b=4.8969 c=4.8969 alpha=90.00 beta=90.00 gamma=90.00
With the nearest neighbours (Å) after each atom.
Fractional coordinates of all 5 atoms:
Mg1 0.0000 0.0000 0.0000  6 Au 2.45
Au1 0.5000 0.0000 0.0000  2 Mg 2.45
Pb1 0.5000 0.5000 0.5000  12 Au 3.46
Au2 0.0000 0.5000 0.0000  2 Mg 2.45
Au3 0.0000 0.0000 0.5000  2 Mg 2.45

***

MgPbAu | meta-GGA SCAN | single point on PBEsol structure

Properties
V	22.66	Å³/atom
density of states at the Fermi level	0.412	states/eV per atom
VASP energy	-50.207	eV/atom
crystal system	trigonal

Unit cell a=3.6883 b=4.6131 c=4.6131 alpha=120.00 beta=90.00 gamma=90.00
With the nearest neighbours (Å) after each atom.
Fractional coordinates of all 3 atoms:
Au1 0.8854 0.0000 0.0000  3 Mg 2.68
Mg1 0.7971 0.3333 0.6667  3 Au 2.68
Pb1 0.3175 0.6667 0.3333  6 Au 3.10-3.39, 6 Mg 3.20-3.28

***

Mg2PbAu | meta-GGA SCAN | single point on PBEsol structure

Properties
V	20.64	Å³/atom
density of states at the Fermi level	0.285	states/eV per atom
VASP energy	-39.086	eV/atom
crystal system	tetragonal

Unit cell a=4.1375 b=4.4668 c=4.4668 alpha=90.00 beta=90.00 gamma=90.00
With the nearest neighbours (Å) after each atom.
Fractional coordinates of all 4 atoms:
Mg1 0.0000 0.0000 0.5000  4 Pb 3.04, 4 Au 3.04, 4 Mg 3.16
Mg2 0.0000 0.5000 0.0000  4 Pb 3.04, 4 Au 3.04, 4 Mg 3.16
Au1 0.5000 0.0000 0.0000  8 Mg 3.04, 4 Pb 3.16
Pb1 0.5000 0.5000 0.5000  8 Mg 3.04, 4 Au 3.16

***

MgPb3Au | meta-GGA SCAN | single point on PBEsol structure

Properties
V	33.24	Å³/atom
density of states at the Fermi level	0.506	states/eV per atom
VASP energy	-59.984	eV/atom
crystal system	cubic

Unit cell a=5.4979 b=5.4979 c=5.4979 alpha=90.00 beta=90.00 gamma=90.00
With the nearest neighbours (Å) after each atom.
Fractional coordinates of all 5 atoms:
Au1 0.0000 0.0000 0.0000  6 Pb 2.75
Mg1 0.5000 0.5000 0.5000  12 Pb 3.89
Pb1 0.5000 0.0000 0.0000  2 Au 2.75
Pb2 0.0000 0.5000 0.0000  2 Au 2.75
Pb3 0.0000 0.0000 0.5000  2 Au 2.75

***

MgPdPbAu2 | meta-GGA SCAN | single point on PBEsol structure

Properties
V	26.72	Å³/atom
density of states at the Fermi level	0.372	states/eV per atom
VASP energy	-49.807	eV/atom
crystal system	tetragonal

Unit cell a=5.0488 b=5.1445 c=5.1445 alpha=90.00 beta=90.00 gamma=90.00
With the nearest neighbours (Å) after each atom.
Fractional coordinates of all 5 atoms:
Pd1 0.5000 0.0000 0.0000  2 Pb 2.52
Au1 0.0000 0.5000 0.0000  2 Pb 2.57
Mg1 0.5000 0.5000 0.5000  8 Au 3.60, 4 Pd 3.64
Pb1 0.0000 0.0000 0.0000  2 Pd 2.52, 4 Au 2.57
Au2 0.0000 0.0000 0.5000  2 Pb 2.57

***

Mg2Pd2Au | meta-GGA SCAN | single point on PBEsol structure

Properties
V	18.10	Å³/atom
density of states at the Fermi level	0.414	states/eV per atom
energy relative to the lowest polymorph listed for this composition	236.6	meV per atom
crystal system	tetragonal

Unit cell a=3.6249 b=3.6249 c=7.3476 alpha=104.28 beta=104.28 gamma=90.00
With the nearest neighbours (Å) after each atom.
Fractional coordinates of all 5 atoms:
Au1 0.0000 0.0000 0.0000  8 Mg 2.94
Mg1 0.3949 0.3949 0.7898  4 Pd 2.70, 1 Mg 2.90, 4 Au 2.94
Pd1 0.2500 0.7500 0.5000  4 Pd 2.56, 4 Mg 2.70
Pd2 0.7500 0.2500 0.5000  4 Pd 2.56, 4 Mg 2.70
Mg2 0.6051 0.6051 0.2102  4 Pd 2.70, 1 Mg 2.90, 4 Au 2.94